This record from the Alexandria database describes crystalline Th2TaMoN6 at its relaxed geometry. The functional is GGA-PBE.

Output
* symmetry: P4mm
* formation energy without anion corrections: -1.15 eV per atom

Lattice parameters (Å, degrees): 4.6693 5.5551 5.5551 90.00 90.00 90.00
Element x y z (fractional)
Th: 0.0052 0.5000 0.0000
N: 0.7194 0.2479 0.7521
N: 0.7194 0.7521 0.7521
Ta: 0.5918 0.5000 0.5000
N: 0.7194 0.7521 0.2479
Th: 0.0052 0.0000 0.5000
Mo: 0.5830 0.0000 0.0000
N: 0.1994 0.0000 0.0000
N: 0.1844 0.5000 0.5000
N: 0.7194 0.2479 0.2479

This record from the Alexandria database describes crystalline NiAs2Se at its relaxed geometry. The functional is GGA-PBE.

Output
* symmetry: Pm
* formation energy without anion corrections: -0.01 eV per atom

Lattice parameters (Å, degrees): 3.5069 4.7150 4.7632 64.16 90.00 90.00
Element x y z (fractional)
Se: 0.5000 0.7050 0.6957
Ni: 0.0000 0.4983 0.4961
As: 0.0000 0.0154 0.0119
As: 0.5000 0.2813 0.2963

This record from the Alexandria database describes crystalline CsMnCl4 at its relaxed geometry. The functional is GGA-PBE.

Output
* symmetry: C2/m
* formation energy without anion corrections: -1.34 eV per atom

Lattice parameters (Å, degrees): 9.6535 7.7307 7.7307 52.78 68.64 68.64
Element x y z (fractional)
Cl: 0.8557 0.3278 0.3278
Cl: 0.3598 0.6555 0.1859
Cs: 0.2606 0.1744 0.1744
Cl: 0.6402 0.3445 0.8141
Mn: 0.1902 0.4918 0.4918
Cl: 0.3598 0.1859 0.6555
Cl: 0.0000 0.7246 0.2754
Cl: 0.0000 0.2754 0.7246
Cl: 0.1443 0.6722 0.6722
Mn: 0.8098 0.5082 0.5082
Cs: 0.7394 0.8256 0.8256
Cl: 0.6402 0.8141 0.3445

This record from the Alexandria database describes crystalline Fe3ReIr12 at its relaxed geometry. The functional is GGA-PBE.

Output
* symmetry: P4/mmm
* energy relative to the elements: -0.09 eV/atom

Lattice parameters (Å, degrees): 3.8398 3.8398 15.3625 90.00 90.00 90.00
Element x y z (fractional)
Ir: 0.5000 0.0000 0.8751
Ir: 0.5000 0.0000 0.1249
Ir: 0.0000 0.5000 0.1249
Ir: 0.5000 0.5000 0.7493
Ir: 0.5000 0.5000 0.2507
Ir: 0.5000 0.0000 0.3756
Re: 0.0000 0.0000 0.0000
Fe: 0.0000 0.0000 0.5000
Fe: 0.0000 0.0000 0.7432
Ir: 0.5000 0.5000 0.5000
Ir: 0.5000 0.5000 0.0000
Ir: 0.0000 0.5000 0.8751
Fe: 0.0000 0.0000 0.2568
Ir: 0.5000 0.0000 0.6244
Ir: 0.0000 0.5000 0.6244
Ir: 0.0000 0.5000 0.3756

This record from the Alexandria database describes crystalline RbMnCuBr5 at its relaxed geometry. The functional is GGA-PBE.

Output
* symmetry: C2/c
* formation energy without anion corrections: -0.84 eV per atom

Lattice parameters (Å, degrees): 7.5553 7.5553 9.8854 103.19 103.19 106.33
Element x y z (fractional)
Br: 0.1017 0.7063 0.9073
Br: 0.2272 0.3712 0.5725
Rb: 0.6561 0.3439 0.7500
Br: 0.8983 0.2937 0.0927
Mn: 0.0000 0.0000 0.0000
Br: 0.9387 0.0613 0.7500
Cu: 0.6926 0.3074 0.2500
Mn: 0.0000 0.0000 0.5000
Br: 0.0613 0.9387 0.2500
Br: 0.3712 0.2272 0.0725
Br: 0.2937 0.8983 0.5927
Rb: 0.3439 0.6561 0.2500
Br: 0.7728 0.6288 0.4275
Br: 0.7063 0.1017 0.4073
Br: 0.6288 0.7728 0.9275
Cu: 0.3074 0.6926 0.7500

This record from the Alexandria database describes crystalline Mg2TaAg at its relaxed geometry. The functional is GGA-PBE.

Output
* symmetry: Fm-3m
* energy relative to the elements: 0.50 eV/atom

Lattice parameters (Å, degrees): 4.7373 4.7373 4.7373 60.00 60.00 60.00
Element x y z (fractional)
Mg: 0.7500 0.7500 0.7500
Ag: 0.0000 0.0000 0.0000
Mg: 0.2500 0.2500 0.2500
Ta: 0.5000 0.5000 0.5000

This record from the Alexandria database describes crystalline ZrP2H at its relaxed geometry. The functional is GGA-PBE.

Output
* symmetry: Fm-3m

Lattice parameters (Å, degrees): 4.4218 4.4218 4.4218 60.00 60.00 60.00
Element x y z (fractional)
Zr: 0.5000 0.5000 0.5000
H: 0.0000 0.0000 0.0000
P: 0.7500 0.7500 0.7500
P: 0.2500 0.2500 0.2500

This record from the Alexandria database describes crystalline ZnBr2 at its relaxed geometry. The functional is GGA-PBE.

Output
* symmetry: Cm
* formation energy without anion corrections: -0.82 eV per atom

Lattice parameters (Å, degrees): 6.8382 6.8382 8.0311 90.73 90.73 32.01
Element x y z (fractional)
Br: 0.4273 0.4273 0.4718
Br: 0.6959 0.6959 0.1396
Zn: 0.8868 0.8868 0.6504
Zn: 0.1557 0.1557 0.9450
Br: 0.7008 0.7008 0.7023
Br: 0.9670 0.9670 0.9243

This record from the Alexandria database describes crystalline HfCu2Pd2 at its relaxed geometry. The functional is GGA-PBE.

Output
* symmetry: C2/c
* energy relative to the elements: -0.44 eV/atom

Lattice parameters (Å, degrees): 4.8033 5.2316 7.3234 110.08 90.00 117.33
Element x y z (fractional)
Cu: 0.2704 0.2186 0.9519
Cu: 0.9482 0.2186 0.4519
Cu: 0.7296 0.7814 0.0481
Pd: 0.5149 0.3750 0.6469
Pd: 0.1399 0.6250 0.8531
Cu: 0.0518 0.7814 0.5481
Hf: 0.6701 0.0000 0.7500
Pd: 0.4851 0.6250 0.3531
Pd: 0.8601 0.3750 0.1469
Hf: 0.3299 0.0000 0.2500

This record from the Alexandria database describes crystalline CsLiAu2I at its relaxed geometry. The functional is GGA-PBE.

Output
* symmetry: P4/mmm
* formation energy without anion corrections: -0.29 eV per atom

Lattice parameters (Å, degrees): 5.2124 5.8570 5.2124 90.00 90.00 90.00
Element x y z (fractional)
Au: 0.5000 0.0000 0.0000
Li: 0.0000 0.0000 0.0000
Au: 0.0000 0.0000 0.5000
I: 0.0000 0.5000 0.0000
Cs: 0.5000 0.5000 0.5000

This record from the Alexandria database describes crystalline SrTa2Br at its relaxed geometry. The functional is GGA-PBE.

Output
* symmetry: Amm2
* formation energy without anion corrections: 0.07 eV per atom

Lattice parameters (Å, degrees): 3.4784 3.5932 8.3205 77.52 90.00 90.00
Element x y z (fractional)
Br: 0.0000 0.3134 0.4977
Ta: 0.0000 0.0352 0.0545
Sr: 0.5000 0.6858 0.7543
Ta: 0.5000 0.4657 0.1934

This record from the Alexandria database describes crystalline NbCuS2 at its relaxed geometry. The functional is GGA-PBE.

Output
* symmetry: I-42d
* formation energy without anion corrections: -0.40 eV per atom

Lattice parameters (Å, degrees): 5.5864 5.5864 6.4089 64.16 64.16 90.00
Element x y z (fractional)
Nb: 0.0000 0.0000 0.0000
S: 0.3750 0.3899 0.7500
S: 0.6101 0.1250 0.2500
Nb: 0.7500 0.2500 0.5000
Cu: 0.2500 0.7500 0.5000
Cu: 0.5000 0.5000 0.0000
S: 0.8750 0.8601 0.7500
S: 0.1399 0.6250 0.2500

| no. | total energy (eV/atom) | ρ (g/cm³) |
| --- | --- | --- |
| 1 | -9.899 | 9.5 |
| 2 | -4.650 | 6.7 |
| 3 | -4.238 | 2.6 |
| 4 | -9.100 | 19.5 |
| 5 | -3.668 | 4.0 |
| 6 | -3.977 | 7.5 |
| 7 | -5.423 | 4.2 |
| 8 | -2.356 | 3.8 |
| 9 | -6.142 | 11.4 |
| 10 | -2.466 | 6.9 |
| 11 | -6.697 | 8.7 |
| 12 | -6.003 | 4.7 |